Model P:
{"formula": "BOs3Se", "functional": "GGA-PBE", "state": "relaxed", "density_g_cm3": 11.80, "magnetic_moment_mub_per_cell": 1.2, "cell": [[4.530, 0.000, 0.000], [0.000, 4.530, 0.000], [0.000, 0.000, 4.530]], "species": ["B", "Os", "Os", "Os", "Se"], "fractional_positions": [[0.000, 0.000, 0.000], [0.000, 0.500, 0.500], [0.500, 0.000, 0.500], [0.500, 0.500, 0.000], [0.500, 0.500, 0.500]]}

Model Q:
{"formula": "BOs3Se", "functional": "GGA-PBE", "state": "relaxed", "density_g_cm3": 15.41, "magnetic_moment_mub_per_cell": 0.0, "cell": [[4.144, 0.000, 0.000], [0.000, 4.144, 0.000], [0.000, 0.000, 4.144]], "species": ["B", "Os", "Os", "Os", "Se"], "fractional_positions": [[0.000, 0.000, 0.000], [0.000, 0.000, 0.500], [0.000, 0.500, 0.000], [0.500, 0.000, 0.000], [0.500, 0.500, 0.500]]}

Which structure loses on stability? model P does.

Model P:
{"formula": "SiBOs2", "functional": "GGA-PBE", "state": "relaxed", "density_g_cm3": 14.91, "magnetic_moment_mub_per_cell": 0.0, "cell": [[5.716, 0.000, 0.000], [0.000, 5.716, 0.000], [0.000, 0.000, 5.716]], "species": ["Si", "Si", "Si", "Si", "B", "B", "B", "B", "Os", "Os", "Os", "Os", "Os", "Os", "Os", "Os"], "fractional_positions": [[0.000, 0.000, 0.000], [0.000, 0.500, 0.500], [0.500, 0.000, 0.500], [0.500, 0.500, 0.000], [0.000, 0.000, 0.500], [0.000, 0.500, 0.000], [0.500, 0.000, 0.000], [0.500, 0.500, 0.500], [0.250, 0.250, 0.250], [0.250, 0.250, 0.750], [0.250, 0.750, 0.250], [0.250, 0.750, 0.750], [0.750, 0.250, 0.250], [0.750, 0.250, 0.750], [0.750, 0.750, 0.250], [0.750, 0.750, 0.750]]}

Model Q:
{"formula": "SiBOs2", "functional": "GGA-PBE", "state": "relaxed", "density_g_cm3": 13.30, "magnetic_moment_mub_per_cell": 0.0, "cell": [[6.870, 0.000, 0.000], [0.000, 6.870, 0.000], [0.000, 0.000, 4.438]], "species": ["Si", "Si", "Si", "Si", "B", "B", "B", "B", "Os", "Os", "Os", "Os", "Os", "Os", "Os", "Os"], "fractional_positions": [[0.000, 0.000, 0.000], [0.000, 0.500, 0.250], [0.500, 0.000, 0.750], [0.500, 0.500, 0.500], [0.000, 0.000, 0.500], [0.000, 0.500, 0.750], [0.500, 0.000, 0.250], [0.500, 0.500, 0.000], [0.144, 0.750, 0.625], [0.250, 0.144, 0.375], [0.250, 0.356, 0.875], [0.356, 0.750, 0.125], [0.644, 0.250, 0.125], [0.750, 0.644, 0.875], [0.750, 0.856, 0.375], [0.856, 0.250, 0.625]]}

Which structure loses on stability? model Q does.

Model P:
{"formula": "Si2B2Os", "functional": "GGA-PBE", "state": "relaxed", "density_g_cm3": 8.00, "magnetic_moment_mub_per_cell": 0.0, "cell": [[6.142, 0.000, 0.000], [0.000, 6.142, 0.000], [0.000, 0.000, 2.951]], "species": ["Si", "Si", "Si", "Si", "B", "B", "B", "B", "Os", "Os"], "fractional_positions": [[0.130, 0.370, 0.000], [0.370, 0.870, 0.000], [0.630, 0.130, 0.000], [0.870, 0.630, 0.000], [0.192, 0.692, 0.500], [0.308, 0.192, 0.500], [0.692, 0.808, 0.500], [0.808, 0.308, 0.500], [0.000, 0.000, 0.000], [0.500, 0.500, 0.000]]}

Model Q:
{"formula": "Si2B2Os", "functional": "GGA-PBE", "state": "relaxed", "density_g_cm3": 8.44, "magnetic_moment_mub_per_cell": 0.0, "cell": [[2.819, 0.000, 0.000], [0.000, 2.819, 0.000], [0.000, 0.000, 13.266]], "species": ["Si", "Si", "Si", "Si", "B", "B", "B", "B", "Os", "Os"], "fractional_positions": [[0.000, 0.000, 0.124], [0.000, 0.000, 0.876], [0.500, 0.500, 0.376], [0.500, 0.500, 0.624], [0.000, 0.500, 0.250], [0.000, 0.500, 0.750], [0.500, 0.000, 0.250], [0.500, 0.000, 0.750], [0.000, 0.000, 0.500], [0.500, 0.500, 0.000]]}

Which structure loses on stability? model P does.

Model P:
{"formula": "SmB2Os", "functional": "GGA-PBE", "state": "relaxed", "density_g_cm3": 10.53, "magnetic_moment_mub_per_cell": 0.0, "cell": [[3.693, 0.000, 0.000], [-1.847, 3.198, 0.000], [0.000, 0.000, 14.503]], "species": ["Sm", "Sm", "Sm", "B", "B", "B", "B", "B", "B", "Os", "Os", "Os"], "fractional_positions": [[0.000, 0.000, 0.000], [0.333, 0.667, 0.667], [0.667, 0.333, 0.333], [0.000, 0.000, 0.204], [0.000, 0.000, 0.796], [0.333, 0.667, 0.462], [0.333, 0.667, 0.871], [0.667, 0.333, 0.129], [0.667, 0.333, 0.538], [0.000, 0.000, 0.500], [0.333, 0.667, 0.167], [0.667, 0.333, 0.833]]}

Model Q:
{"formula": "SmB2Os", "functional": "GGA-PBE", "state": "relaxed", "density_g_cm3": 9.99, "magnetic_moment_mub_per_cell": 0.0, "cell": [[5.503, 0.000, 0.000], [0.000, 3.805, 0.000], [0.000, 0.000, 11.502]], "species": ["Sm", "Sm", "Sm", "Sm", "B", "B", "B", "B", "B", "B", "B", "B", "Os", "Os", "Os", "Os"], "fractional_positions": [[0.130, 0.250, 0.128], [0.370, 0.750, 0.628], [0.630, 0.250, 0.372], [0.870, 0.750, 0.872], [0.124, 0.250, 0.751], [0.144, 0.250, 0.457], [0.356, 0.750, 0.957], [0.376, 0.750, 0.251], [0.624, 0.250, 0.749], [0.644, 0.250, 0.043], [0.856, 0.750, 0.543], [0.876, 0.750, 0.249], [0.125, 0.750, 0.376], [0.375, 0.250, 0.876], [0.625, 0.750, 0.124], [0.875, 0.250, 0.624]]}

Which structure loses on stability? model P does.